Entry 1:
Crystalline NdYCdCu at its relaxed geometry. Source: Alexandria, functional GGA-PBE.

Results
Its density is 6.8 g/cm³. Its space-group type is No. 216.

Cell lengths 5.214, 5.214, 5.214 Å; angles 60.00, 60.00, 60.00 degrees
Fractional coordinates of all 4 atoms:
Y: 0.750 0.750 0.750
Nd: 0.250 0.250 0.250
Cu: 0.500 0.500 0.500
Cd: 0.000 0.000 0.000

Entry 2:
Crystalline Mg4Rh3Au at its relaxed geometry. Source: Alexandria, functional GGA-PBE.

Results
Its density is 8.0 g/cm³. Its space-group type is No. 166.

Cell lengths 4.456, 4.456, 7.717 Å; angles 73.22, 73.22, 60.00 degrees
Fractional coordinates of all 8 atoms:
Au: 0.000 0.000 0.000
Mg: 0.872 0.872 0.385
Mg: 0.378 0.378 0.865
Mg: 0.128 0.128 0.615
Mg: 0.622 0.622 0.135
Rh: 0.252 0.252 0.244
Rh: 0.748 0.748 0.756
Rh: 0.500 0.500 0.500

| no. | formation enthalpy at 0 K (eV/atom) |
| --- | --- |
| 1 | -0.209 |
| 2 | -0.548 |